# BaLiCoAs2

A relaxed structure of BaLiCoAs2 (PBE, OQMD).

Lattice parameters (Å, degrees): 4.1954 4.1954 11.6982 90.00 90.00 90.00
Space group I-4m2 (No. 119)
Asymmetric unit:
Ba  0.0000  0.0000  0.0000 x2
Li  0.0000  0.5000  0.2500 x2
Co  0.0000  0.5000  0.7500 x2
As  0.0000  0.0000  0.3480 x4

E_tot in eV per atom: -4.681



# BaMgCoAs

A relaxed structure of BaMgCoAs (PBE, OQMD).

Lattice parameters (Å, degrees): 7.2972 7.2972 7.2972 90.00 90.00 90.00
Space group F-43m (No. 216)
Asymmetric unit:
Ba  0.0000  0.0000  0.0000 x4
Mg  0.0000  0.0000  0.5000 x4
Co  0.2500  0.2500  0.2500 x4
As  0.2500  0.2500  0.7500 x4

Relative energy among the computed polymorphs in meV per atom: 0



# BaMgCoAs

A relaxed structure of BaMgCoAs (PBE, OQMD).

Lattice parameters (Å, degrees): 7.1717 7.1717 7.1717 90.00 90.00 90.00
Space group F-43m (No. 216)
Asymmetric unit:
Ba  0.0000  0.0000  0.0000 x4
Mg  0.2500  0.2500  0.7500 x4
Co  0.0000  0.0000  0.5000 x4
As  0.2500  0.2500  0.2500 x4

Relative energy among the computed polymorphs in meV per atom: 119



# BaMgCoAs

A relaxed structure of BaMgCoAs (PBE, OQMD).

Lattice parameters (Å, degrees): 6.9078 6.9078 6.9078 90.00 90.00 90.00
Space group F-43m (No. 216)
Asymmetric unit:
Ba  0.0000  0.0000  0.0000 x4
Mg  0.2500  0.2500  0.7500 x4
Co  0.2500  0.2500  0.2500 x4
As  0.0000  0.0000  0.5000 x4

Relative energy among the computed polymorphs in meV per atom: 120